Record 1
VASP calculation (GGA-PBE) on a geometry-optimized Pr5Nd2Tl5 structure.

Summary:
Calculated formation energy in meV/atom: -234
Total moment in μB/f.u.: 0.00
Fermi-level density of states in states/eV per atom: 1.01
Symmetry: C2/m
VASP energy in eV per atom: -4.006

a b c (Å): 5.3030 6.5708 12.7748
angles (deg): 107.60 90.00 113.80
With the nearest neighbours (Å) after each atom.
Fractional positions:
Pr 0.5000 0.0000 0.5000  6 Tl 3.39-3.66, 2 Pr 3.75
Pr 0.6533 0.3067 0.0070  3 Tl 3.21-3.34, 3 Pr 3.57
Pr 0.6494 0.2989 0.2849  5 Tl 3.24-3.49, 1 Pr 3.57, 2 Nd 3.58
Pr 0.3506 0.7011 0.7151  5 Tl 3.24-3.49, 1 Pr 3.57, 2 Nd 3.58
Pr 0.3467 0.6933 0.9930  3 Tl 3.21-3.34, 3 Pr 3.57
Nd 0.0612 0.1224 0.7638  4 Tl 3.25-3.33, 2 Pr 3.58
Nd 0.9388 0.8776 0.2362  4 Tl 3.25-3.33, 2 Pr 3.58
Tl 0.1607 0.3215 0.4664  5 Pr 3.24-3.49, 1 Nd 3.25, 2 Tl 3.34
Tl 0.7244 0.4488 0.7755  4 Pr 3.27-3.66, 2 Nd 3.27, 1 Tl 3.59
Tl 0.2756 0.5512 0.2245  4 Pr 3.27-3.66, 2 Nd 3.27, 1 Tl 3.59
Tl 0.8393 0.6785 0.5336  5 Pr 3.24-3.49, 1 Nd 3.25, 2 Tl 3.34
Tl 0.0000 0.0000 0.0000  4 Pr 3.21, 2 Nd 3.33, 2 Tl 3.59

---

Record 2
VASP calculation (GGA-PBE) on a geometry-optimized NbTc2Os structure.

Summary:
Calculated formation energy in meV/atom: 1560
Total moment in μB/f.u.: 0.00
Polymorph energy (0 for the lowest one) in meV per atom: 1409
Fermi-level density of states in states/eV per atom: 1.30
Symmetry: I-42d
VASP energy in eV per atom: -8.947

a b c (Å): 5.6992 5.6992 6.9665
angles (deg): 65.86 65.86 90.00
With the nearest neighbours (Å) after each atom.
Fractional positions:
Nb 0.5000 0.5000 0.0000  4 Tc 2.54
Nb 0.2500 0.7500 0.5000  4 Tc 2.54
Os 0.0000 0.0000 0.0000  4 Tc 2.39
Os 0.7500 0.2500 0.5000  4 Tc 2.39
Tc 0.6471 0.1250 0.2500  2 Os 2.39, 2 Nb 2.54
Tc 0.1029 0.6250 0.2500  2 Os 2.39, 2 Nb 2.54
Tc 0.3750 0.3529 0.7500  2 Os 2.39, 2 Nb 2.54
Tc 0.8750 0.8971 0.7500  2 Os 2.39, 2 Nb 2.54

---

Record 3
VASP calculation (GGA-PBE) on a geometry-optimized Pm3NdAu structure.

Summary:
Calculated formation energy in meV/atom: -196
Total moment in μB/f.u.: 0.00
Fermi-level density of states in states/eV per atom: 1.32
Symmetry: C2/m
VASP energy in eV per atom: -4.655

a b c (Å): 7.3903 7.3903 7.9437
angles (deg): 101.50 116.41 107.91
With the nearest neighbours (Å) after each atom.
Fractional positions:
Pm 0.8270 0.9908 0.2174  2 Au 2.96-3.12
Pm 0.2266 0.3903 0.2174  2 Au 2.96-3.12
Pm 0.7734 0.6097 0.7826  2 Au 2.96-3.12
Pm 0.7376 0.4564 0.1940  1 Au 3.03
Pm 0.1730 0.0092 0.7826  2 Au 2.96-3.12
Pm 0.2624 0.5436 0.8060  1 Au 3.03
Nd 0.6920 0.0806 0.7726  2 Au 3.06-3.07
Nd 0.3080 0.9194 0.2274  2 Au 3.06-3.07
Au 0.6620 0.7689 0.4309  5 Pm 2.96-3.12, 2 Nd 3.06-3.07
Au 0.3380 0.2311 0.5691  5 Pm 2.96-3.12, 2 Nd 3.06-3.07

---

Record 4
VASP calculation (GGA-PBE) on a geometry-optimized InSi2Br structure.

Summary:
ΔE_f (raw) in eV/f.u.: 0.356
Total moment in μB/f.u.: 0.00
Polymorph energy (0 for the lowest one) in meV per atom: 74
Fermi-level density of states in states/eV per atom: 0.29
Symmetry: Pm
VASP energy in eV per atom: -3.725

a b c (Å): 3.8858 5.2230 5.3424
angles (deg): 59.95 90.00 90.00
With the nearest neighbours (Å) after each atom.
Fractional positions:
Br 0.0000 0.5091 0.4836  1 Si 2.43
In 0.5000 0.8024 0.7805  4 Si 2.81-2.92
Si 0.0000 0.9989 0.0574  2 Si 2.41, 1 Br 2.43
Si 0.5000 0.1897 0.1785  2 Si 2.41